Record 1
A plane-wave DFT calculation with PBEsol was carried out for KCd2Hg after structural relaxation.

Properties
The total energy is -1.05 eV/atom. The density comes out at 7.46 g cm⁻³. The value obtained for the density of states at the Fermi level is 0.448 states/eV per atom. The formation energy from the elements is -0.024 eV per atom. Its total magnetization is 0.0 μB/f.u.

Structure (CIF):
```
data_KCd2Hg
_cell_length_a 5.267
_cell_length_b 5.283
_cell_length_c 7.431
_cell_angle_alpha 90.00
_cell_angle_beta 90.00
_cell_angle_gamma 90.00
_space_group_name_H-M_alt 'I m m 2'
_space_group_IT_number 44
loop_
_space_group_symop_operation_xyz
'x,y,z'
'-x,-y,z'
'-x,y,z'
'x,-y,z'
'x+1/2,y+1/2,z+1/2'
'-x+1/2,-y+1/2,z+1/2'
'-x+1/2,y+1/2,z+1/2'
'x+1/2,-y+1/2,z+1/2'
loop_
_atom_site_label
_atom_site_fract_x
_atom_site_fract_y
_atom_site_fract_z
_atom_site_occupancy
K1 0.000 0.000 0.000 1
Cd1 0.000 0.000 0.500 1
Cd2 0.000 0.500 0.249 1
Hg1 0.000 0.500 0.751 1
```

=====

Record 2
A plane-wave DFT calculation with PBEsol was carried out for BaCaTc2 after structural relaxation.

Properties
The total energy is -5.49 eV/atom. The density comes out at 7.48 g cm⁻³. The value obtained for the density of states at the Fermi level is 0.969 states/eV per atom. The formation energy from the elements is 1.216 eV per atom. Its total magnetization is 0.0 μB/f.u.

Structure (CIF):
```
data_BaCaTc2
_cell_length_a 4.013
_cell_length_b 4.013
_cell_length_c 5.148
_cell_angle_alpha 90.00
_cell_angle_beta 90.00
_cell_angle_gamma 90.00
_space_group_name_H-M_alt 'P 4/m m m'
_space_group_IT_number 123
_space_group_name_Hall '-P 4 2'
loop_
_atom_site_label
_atom_site_fract_x
_atom_site_fract_y
_atom_site_fract_z
_atom_site_occupancy
Ba1 0.000 0.000 0.000 1
Ca1 0.500 0.500 0.000 1
Tc1 0.000 0.500 0.500 1
```

=====

Record 3
A plane-wave DFT calculation with PBEsol was carried out for Mg2Si4O11 after structural relaxation.

Properties
The total energy is -7.52 eV/atom. The formation energy from raw total energies comes out at -2568 meV per atom. The density comes out at 1.58 g cm⁻³. Its total magnetization is 1.0 μB/f.u.

Structure (CIF):
```
data_Mg2Si4O11
_cell_length_a 15.584
_cell_length_b 17.792
_cell_length_c 5.450
_cell_angle_alpha 90.00
_cell_angle_beta 109.96
_cell_angle_gamma 90.00
_space_group_name_H-M_alt 'C 1 2/m 1'
_space_group_IT_number 12
loop_
_space_group_symop_operation_xyz
'x,y,z'
'-x,-y,-z'
'-x,y,-z'
'x,-y,z'
'x+1/2,y+1/2,z'
'-x+1/2,-y+1/2,-z'
'-x+1/2,y+1/2,-z'
'x+1/2,-y+1/2,z'
loop_
_atom_site_label
_atom_site_fract_x
_atom_site_fract_y
_atom_site_fract_z
_atom_site_occupancy
Mg1 0.000 0.150 0.000 1
Mg2 0.000 0.153 0.500 1
Si1 0.187 0.090 0.438 1
Si2 0.200 0.170 0.950 1
O1 0.030 0.000 0.951 1
O2 0.080 0.112 0.333 1
O3 0.089 0.181 0.840 1
O4 0.203 0.000 0.454 1
O5 0.232 0.124 0.229 1
O6 0.232 0.125 0.734 1
O7 0.250 0.250 0.000 1
```

=====

Record 4
A plane-wave DFT calculation with PBEsol was carried out for Sc2ReP after structural relaxation.

Properties
The total energy is -8.38 eV/atom. The density comes out at 7.83 g cm⁻³. The value obtained for the density of states at the Fermi level is 1.052 states/eV per atom. The formation energy from the elements is -0.294 eV per atom. Its total magnetization is 0.0 μB/f.u.

Structure (CIF):
```
data_Sc2ReP
_cell_length_a 3.826
_cell_length_b 3.826
_cell_length_c 8.901
_cell_angle_alpha 90.00
_cell_angle_beta 90.00
_cell_angle_gamma 90.00
_space_group_name_H-M_alt 'I -4 m 2'
_space_group_IT_number 119
_space_group_name_Hall 'I -4 -2'
loop_
_atom_site_label
_atom_site_fract_x
_atom_site_fract_y
_atom_site_fract_z
_atom_site_occupancy
Sc1 0.000 0.000 0.000 1
Sc2 0.000 0.500 0.250 1
Re1 0.000 0.500 0.750 1
P1 0.000 0.000 0.500 1
```

=====

Record 5
A plane-wave DFT calculation with PBEsol was carried out for Be2AlPt2 after structural relaxation.

Properties
The total energy is -5.90 eV/atom. The density comes out at 11.67 g cm⁻³. The value obtained for the density of states at the Fermi level is 0.242 states/eV per atom. The formation energy from the elements is -0.696 eV per atom. Its total magnetization is 0.0 μB/f.u.

Structure (CIF):
```
data_Be2AlPt2
_cell_length_a 3.128
_cell_length_b 3.128
_cell_length_c 12.650
_cell_angle_alpha 90.00
_cell_angle_beta 90.00
_cell_angle_gamma 90.00
_space_group_name_H-M_alt 'I 4/m m m'
_space_group_IT_number 139
_space_group_name_Hall '-I 4 2'
loop_
_atom_site_label
_atom_site_fract_x
_atom_site_fract_y
_atom_site_fract_z
_atom_site_occupancy
Be1 0.000 0.500 0.250 1
Al1 0.000 0.000 0.000 1
Pt1 0.000 0.000 0.388 1
```

=====

Record 6
A plane-wave DFT calculation with PBEsol was carried out for LaMnCu2Se after structural relaxation.

Properties
The total energy is -4.47 eV/atom. The formation energy from raw total energies comes out at 1060 meV per atom. The density comes out at 4.57 g cm⁻³. The value obtained for the density of states at the Fermi level is 0.414 states/eV per atom. Its total magnetization is 5.2 μB/f.u.

Structure (CIF):
```
data_LaMnCu2Se
_cell_length_a 5.129
_cell_length_b 5.129
_cell_length_c 5.526
_cell_angle_alpha 90.00
_cell_angle_beta 90.00
_cell_angle_gamma 90.00
_space_group_name_H-M_alt 'P 4/m m m'
_space_group_IT_number 123
_space_group_name_Hall '-P 4 2'
loop_
_atom_site_label
_atom_site_fract_x
_atom_site_fract_y
_atom_site_fract_z
_atom_site_occupancy
La1 0.000 0.000 0.000 1
Mn1 0.500 0.500 0.500 1
Cu1 0.000 0.500 0.000 1
Se1 0.000 0.000 0.500 1
```

=====

Record 7
A plane-wave DFT calculation with PBEsol was carried out for BaTaCd after structural relaxation.

Properties
The total energy is -4.56 eV/atom. The density comes out at 8.90 g cm⁻³. The value obtained for the density of states at the Fermi level is 1.226 states/eV per atom. The formation energy from the elements is 0.736 eV per atom. Its total magnetization is 0.0 μB/f.u.

Structure (CIF):
```
data_BaTaCd
_cell_length_a 3.092
_cell_length_b 4.318
_cell_length_c 12.037
_cell_angle_alpha 90.00
_cell_angle_beta 90.00
_cell_angle_gamma 90.00
_space_group_name_H-M_alt 'I m m 2'
_space_group_IT_number 44
loop_
_space_group_symop_operation_xyz
'x,y,z'
'-x,-y,z'
'-x,y,z'
'x,-y,z'
'x+1/2,y+1/2,z+1/2'
'-x+1/2,-y+1/2,z+1/2'
'-x+1/2,y+1/2,z+1/2'
'x+1/2,-y+1/2,z+1/2'
loop_
_atom_site_label
_atom_site_fract_x
_atom_site_fract_y
_atom_site_fract_z
_atom_site_occupancy
Ba1 0.000 0.000 0.000 1
Ta1 0.000 0.000 0.290 1
Cd1 0.000 0.000 0.700 1
```

=====

Record 8
A plane-wave DFT calculation with PBEsol was carried out for Ba2AlPt2 after structural relaxation.

Properties
The total energy is -4.63 eV/atom. The density comes out at 8.08 g cm⁻³. The value obtained for the density of states at the Fermi level is 0.971 states/eV per atom. The formation energy from the elements is -0.166 eV per atom. Its total magnetization is 0.0 μB/f.u.

Structure (CIF):
```
data_Ba2AlPt2
_cell_length_a 3.774
_cell_length_b 3.774
_cell_length_c 19.960
_cell_angle_alpha 90.00
_cell_angle_beta 90.00
_cell_angle_gamma 90.00
_space_group_name_H-M_alt 'I 4/m m m'
_space_group_IT_number 139
_space_group_name_Hall '-I 4 2'
loop_
_atom_site_label
_atom_site_fract_x
_atom_site_fract_y
_atom_site_fract_z
_atom_site_occupancy
Ba1 0.000 0.000 0.121 1
Al1 0.000 0.000 0.500 1
Pt1 0.000 0.500 0.250 1
```

=====

Record 9
A plane-wave DFT calculation with PBEsol was carried out for La2ZnHg after structural relaxation.

Properties
The total energy is -3.58 eV/atom. The density comes out at 8.77 g cm⁻³. The value obtained for the density of states at the Fermi level is 0.751 states/eV per atom. The formation energy from the elements is -0.367 eV per atom. Its total magnetization is 0.0 μB/f.u.

Structure (CIF):
```
data_La2ZnHg
_cell_length_a 3.767
_cell_length_b 5.116
_cell_length_c 10.684
_cell_angle_alpha 90.00
_cell_angle_beta 90.00
_cell_angle_gamma 90.00
_space_group_name_H-M_alt 'I m m 2'
_space_group_IT_number 44
loop_
_space_group_symop_operation_xyz
'x,y,z'
'-x,-y,z'
'-x,y,z'
'x,-y,z'
'x+1/2,y+1/2,z+1/2'
'-x+1/2,-y+1/2,z+1/2'
'-x+1/2,y+1/2,z+1/2'
'x+1/2,-y+1/2,z+1/2'
loop_
_atom_site_label
_atom_site_fract_x
_atom_site_fract_y
_atom_site_fract_z
_atom_site_occupancy
La1 0.000 0.000 0.000 1
La2 0.000 0.500 0.216 1
Zn1 0.000 0.000 0.460 1
Hg1 0.000 0.500 0.773 1
```

=====

Record 10
A plane-wave DFT calculation with PBEsol was carried out for Li2CaOs after structural relaxation.

Properties
The total energy is -4.16 eV/atom. The density comes out at 5.40 g cm⁻³. The value obtained for the density of states at the Fermi level is 0.635 states/eV per atom. The formation energy from the elements is 0.410 eV per atom. Its total magnetization is 0.0 μB/f.u.

Structure (CIF):
```
data_Li2CaOs
_cell_length_a 2.646
_cell_length_b 4.003
_cell_length_c 7.095
_cell_angle_alpha 90.00
_cell_angle_beta 90.00
_cell_angle_gamma 90.00
_space_group_name_H-M_alt 'P m m 2'
_space_group_IT_number 25
loop_
_space_group_symop_operation_xyz
'x,y,z'
'-x,-y,z'
'-x,y,z'
'x,-y,z'
loop_
_atom_site_label
_atom_site_fract_x
_atom_site_fract_y
_atom_site_fract_z
_atom_site_occupancy
Li1 0.000 0.000 0.000 1
Li2 0.500 0.500 0.204 1
Ca1 0.500 0.500 0.620 1
Os1 0.000 0.000 0.375 1
```

=====

Record 11
A plane-wave DFT calculation with PBEsol was carried out for SrZn2AgH after structural relaxation.

Properties
The total energy is -2.27 eV/atom. The density comes out at 6.22 g cm⁻³. The value obtained for the density of states at the Fermi level is 0.303 states/eV per atom. Its total magnetization is 0.0 μB/f.u.

Structure (CIF):
```
data_SrZn2AgH
_cell_length_a 4.353
_cell_length_b 4.353
_cell_length_c 4.613
_cell_angle_alpha 90.00
_cell_angle_beta 90.00
_cell_angle_gamma 90.00
_space_group_name_H-M_alt 'P 4/m m m'
_space_group_IT_number 123
_space_group_name_Hall '-P 4 2'
loop_
_atom_site_label
_atom_site_fract_x
_atom_site_fract_y
_atom_site_fract_z
_atom_site_occupancy
Sr1 0.000 0.000 0.000 1
Zn1 0.000 0.500 0.500 1
Ag1 0.500 0.500 0.000 1
H1 0.000 0.000 0.500 1
```

=====

Record 12
A plane-wave DFT calculation with PBEsol was carried out for AgRu2Br after structural relaxation.

Properties
The total energy is -5.60 eV/atom. The formation energy from raw total energies comes out at 783 meV per atom. The density comes out at 10.61 g cm⁻³. The value obtained for the density of states at the Fermi level is 1.037 states/eV per atom. Its total magnetization is 0.0 μB/f.u.

Structure (CIF):
```
data_AgRu2Br
_cell_length_a 2.8875
_cell_length_b 2.8875
_cell_length_c 25.3544
_cell_angle_alpha 90.00
_cell_angle_beta 90.00
_cell_angle_gamma 120.00
_space_group_name_H-M_alt 'R -3 m'
_space_group_IT_number 166
_space_group_name_Hall '-R 3 2"'
loop_
_atom_site_label
_atom_site_fract_x
_atom_site_fract_y
_atom_site_fract_z
_atom_site_occupancy
Ag1 0.0000 0.0000 0.0000 1
Ru1 0.0000 0.0000 0.2449 1
Br1 0.0000 0.0000 0.5000 1
```

=====

Record 13
A plane-wave DFT calculation with PBEsol was carried out for Mn2CuP after structural relaxation.

Properties
The total energy is -7.46 eV/atom. The density comes out at 7.54 g cm⁻³. The value obtained for the density of states at the Fermi level is 0.618 states/eV per atom. The formation energy from the elements is -0.051 eV per atom. Its total magnetization is 3.9 μB/f.u.

Structure (CIF):
```
data_Mn2CuP
_cell_length_a 2.649
_cell_length_b 3.274
_cell_length_c 5.239
_cell_angle_alpha 90.00
_cell_angle_beta 97.93
_cell_angle_gamma 90.00
_space_group_name_H-M_alt 'P 1 2/m 1'
_space_group_IT_number 10
loop_
_space_group_symop_operation_xyz
'x,y,z'
'-x,-y,-z'
'-x,y,-z'
'x,-y,z'
loop_
_atom_site_label
_atom_site_fract_x
_atom_site_fract_y
_atom_site_fract_z
_atom_site_occupancy
Mn1 0.072 0.000 0.269 1
Cu1 0.500 0.500 0.000 1
P1 0.500 0.500 0.500 1
```

=====

Record 14
A plane-wave DFT calculation with PBEsol was carried out for YCdAu after structural relaxation.

Properties
The total energy is -4.68 eV/atom. The density comes out at 10.09 g cm⁻³. The value obtained for the density of states at the Fermi level is 0.696 states/eV per atom. The formation energy from the elements is -0.699 eV per atom. Its total magnetization is 0.0 μB/f.u.

Structure (CIF):
```
data_YCdAu
_cell_length_a 7.6127
_cell_length_b 7.6127
_cell_length_c 3.9170
_cell_angle_alpha 90.00
_cell_angle_beta 90.00
_cell_angle_gamma 120.00
_space_group_name_H-M_alt 'P -6 2 m'
_space_group_IT_number 189
_space_group_name_Hall 'P -6 -2'
loop_
_atom_site_label
_atom_site_fract_x
_atom_site_fract_y
_atom_site_fract_z
_atom_site_occupancy
Y1 0.0000 0.4041 0.0000 1
Cd1 0.0000 0.7402 0.5000 1
Au1 0.0000 0.0000 0.0000 1
Au2 0.3333 0.6667 0.5000 1
```